Here is a relaxed structure of BiSbOsF2 from Alexandria. Energies are from PBE.

a b c (Å): 4.201 5.452 4.201
angles (deg): 90.00 90.00 90.00
Element x y z (fractional)
F 0.000 0.000 0.500
F 0.500 0.000 0.000
Bi 0.500 0.500 0.500
Sb 0.000 0.000 0.000
Os 0.000 0.500 0.000

uncorrected formation energy	-59	kJ per mole of atoms